No. 1
A relaxed BaLa2Se crystal. Source: Alexandria, functional PBE-GGA.

Lattice parameters (Å, degrees): 4.1714 4.1714 32.1519 90.00 90.00 120.00
With the nearest neighbours (Å) after each atom.
Space group R-3m (No. 166, hexagonal axes)
Unique sites:
Ba  0.0000  0.0000  0.0000 x3  6 Ba 4.17, 6 La 4.31
La  0.0000  0.0000  0.2223 x6  3 Se 3.00
Se  0.0000  0.0000  0.5000 x3  6 La 3.00

The total energy is -4.6383 eV per atom. The calculation puts the total magnetic moment at 0.00 μB per formula unit. The calculation puts the mass density at 5.080 g/cm3.

---

No. 2
A relaxed CeThCdPd crystal. Source: Alexandria, functional PBE-GGA.

Lattice parameters (Å, degrees): 7.4336 7.4336 7.4336 90.00 90.00 90.00
With the nearest neighbours (Å) after each atom.
Space group F-43m (No. 216)
Unique sites:
Ce  0.0000  0.0000  0.0000 x4  4 Cd 3.22, 4 Pd 3.22
Th  0.0000  0.0000  0.5000 x4  4 Cd 3.22, 4 Pd 3.22
Cd  0.2500  0.2500  0.2500 x4  4 Th 3.22, 4 Ce 3.22
Pd  0.2500  0.2500  0.7500 x4  4 Th 3.22, 4 Ce 3.22

The total energy is -5.1352 eV per atom. The calculation puts the total magnetic moment at 1.38 μB per formula unit. The calculation puts the mass density at 9.556 g/cm3.

---

No. 3
A relaxed Tb2Ho3Er6 crystal. Source: Alexandria, functional PBE-GGA.

Lattice parameters (Å, degrees): 4.6705 4.6705 32.8434 90.00 90.00 90.00
With the nearest neighbours (Å) after each atom.
Space group I4/mmm (No. 139)
Unique sites:
Tb  0.0000  0.0000  0.0461 x4  1 Tb 3.03
Ho  0.0000  0.0000  0.2992 x4  9 Er 3.31-3.50
Ho  0.0000  0.0000  0.5000 x2  8 Tb 3.63
Er  0.0000  0.0000  0.1957 x4  5 Ho 3.31-3.40, 4 Er 3.37
Er  0.0000  0.5000  0.1216 x8  6 Er 3.30-3.37, 2 Tb 3.41, 2 Ho 3.50

The total energy is -4.2922 eV per atom. The calculation puts the total magnetic moment at 0.00 μB per formula unit. The calculation puts the mass density at 8.419 g/cm3.

---

No. 4
A relaxed Na2ZnGe4 crystal. Source: Alexandria, functional PBE-GGA.

Lattice parameters (Å, degrees): 5.4120 18.0977 3.0722 90.00 90.00 90.00
With the nearest neighbours (Å) after each atom.
Space group Cmmm (No. 65)
Unique sites:
Na  0.0000  0.2098  0.0000 x4  5 Ge 2.95-3.19, 4 Na 3.07
Zn  0.0000  0.5000  0.5000 x2  4 Ge 2.61
Ge  0.0000  0.0706  0.5000 x4  1 Ge 2.55
Ge  0.0000  0.3835  0.0000 x4  2 Zn 2.61

The total energy is -3.0382 eV per atom. The calculation puts the total magnetic moment at 0.00 μB per formula unit. The calculation puts the mass density at 4.436 g/cm3.

---

No. 5
A relaxed Pu3Si2Ge3 crystal. Source: Alexandria, functional PBE-GGA.

Lattice parameters (Å, degrees): 4.4845 10.3843 14.3715 90.00 90.00 90.00
With the nearest neighbours (Å) after each atom.
Space group Cmcm (No. 63)
Unique sites:
Pu  0.0000  0.0817  0.2500 x4  7 Ge 3.04-3.27, 2 Si 3.13
Pu  0.0000  0.1506  0.5414 x8  2 Si 2.89, 6 Ge 3.02-3.23
Si  0.0000  0.3606  0.1676 x8  1 Si 2.37, 3 Ge 2.43-2.64
Ge  0.0000  0.2110  0.7500 x4  4 Si 2.64
Ge  0.0000  0.4354  0.5846 x8  1 Si 2.43

The total energy is -8.7867 eV per atom. The calculation puts the total magnetic moment at 16.60 μB per formula unit. The calculation puts the mass density at 9.985 g/cm3.

---

No. 6
A relaxed CoH2W crystal. Source: Alexandria, functional PBE-GGA.

Lattice parameters (Å, degrees): 4.0299 4.0299 8.0104 90.00 90.00 90.00
With the nearest neighbours (Å) after each atom.
Space group I-42d (No. 122)
Unique sites:
Co  0.0000  0.0000  0.0000 x4  4 H 1.63
H  0.1963  0.2500  0.1250 x8  2 Co 1.63
W  0.0000  0.0000  0.5000 x4  4 H 1.88

The total energy is -6.5008 eV per atom. The calculation puts the total magnetic moment at 0.00 μB per formula unit. The calculation puts the mass density at 12.498 g/cm3.

---

No. 7
A relaxed TaNi2Br crystal. Source: Alexandria, functional PBE-GGA.

Lattice parameters (Å, degrees): 3.1351 3.1351 6.9017 90.00 90.00 90.00
With the nearest neighbours (Å) after each atom.
Space group P4mm (No. 99)
Unique sites:
Ta  0.0000  0.0000  0.0000 x1  5 Ni 2.44-2.57
Ni  0.0000  0.0000  0.6467 x1  1 Ta 2.44, 4 Ni 2.49
Ni  0.5000  0.5000  0.8109 x1  4 Ni 2.49, 4 Ta 2.57
Br  0.5000  0.5000  0.2835 x1  4 Ta 2.96, 4 Br 3.14, 1 Ni 3.26

The total energy is -6.0472 eV per atom. The calculation puts the total magnetic moment at 0.00 μB per formula unit. The calculation puts the mass density at 9.259 g/cm3.

---

No. 8
A relaxed TcPtBr crystal. Source: Alexandria, functional PBE-GGA.

Lattice parameters (Å, degrees): 3.0234 3.0234 6.6281 90.00 90.00 120.00
With the nearest neighbours (Å) after each atom.
Space group P3m1 (No. 156)
Unique sites:
Tc  0.0000  0.0000  0.0000 x1  3 Br 2.61, 3 Pt 2.67
Pt  0.3333  0.6667  0.6945 x1  3 Tc 2.67
Br  0.6667  0.3333  0.2920 x1  3 Tc 2.61

The total energy is -5.5870 eV per atom. The calculation puts the total magnetic moment at 0.00 μB per formula unit. The calculation puts the mass density at 11.804 g/cm3.

---

No. 9
A relaxed Y6Te3As2Pb crystal. Source: Alexandria, functional PBE-GGA.

Lattice parameters (Å, degrees): 18.8378 4.2783 8.6922 90.00 103.99 90.00
With the nearest neighbours (Å) after each atom.
Space group C2/m (No. 12)
Unique sites:
Y  0.0093  0.0000  0.2506 x4  1 As 2.91, 2 Pb 3.03, 3 Te 3.08-3.18
Y  0.1671  0.5000  0.1087 x4  2 As 2.91, 1 Pb 3.06, 3 Te 3.09-3.21
Y  0.1748  0.5000  0.5675 x4  3 As 2.87-2.91, 3 Te 3.18-3.20
Te  0.0000  0.5000  0.5000 x2  6 Y 3.08-3.20
Te  0.1645  0.0000  0.8327 x4  6 Y 3.09-3.21
As  0.1682  0.0000  0.3370 x4  6 Y 2.87-2.91
Pb  0.0000  0.5000  0.0000 x2  6 Y 3.03-3.06

The total energy is -6.4236 eV per atom. The calculation puts the total magnetic moment at 0.00 μB per formula unit. The calculation puts the mass density at 6.221 g/cm3.

---

No. 10
A relaxed CeNi7Sn2 crystal. Source: Alexandria, functional PBE-GGA.

Lattice parameters (Å, degrees): 6.6502 12.6051 4.3030 90.00 90.00 90.00
With the nearest neighbours (Å) after each atom.
Space group Cmmm (No. 65)
Unique sites:
Ce  0.0000  0.0000  0.0000 x2  2 Ni 2.38
Ni  0.0000  0.1885  0.0000 x4  1 Ce 2.38, 2 Sn 2.55
Ni  0.0000  0.5000  0.5000 x2  4 Ni 2.49, 2 Sn 2.57
Ni  0.1785  0.1018  0.5000 x8  3 Ni 2.37-2.57, 1 Sn 2.49
Sn  0.0000  0.2965  0.5000 x4  7 Ni 2.49-2.73

The total energy is -5.2962 eV per atom. The calculation puts the total magnetic moment at 0.00 μB per formula unit. The calculation puts the mass density at 7.259 g/cm3.

---

No. 11
A relaxed DyTh3 crystal. Source: Alexandria, functional PBE-GGA.

Lattice parameters (Å, degrees): 3.5547 3.5547 34.8772 90.00 90.00 120.00
With the nearest neighbours (Å) after each atom.
Space group R-3m (No. 166, hexagonal axes)
Unique sites:
Dy  0.0000  0.0000  0.0000 x3  6 Dy 3.55, 6 Th 3.58
Th  0.0000  0.0000  0.2492 x6  9 Th 3.53-3.55, 3 Dy 3.58
Th  0.0000  0.0000  0.5000 x3  12 Th 3.53-3.55

The total energy is -6.7337 eV per atom. The calculation puts the total magnetic moment at 0.00 μB per formula unit. The calculation puts the mass density at 11.206 g/cm3.

---

No. 12
A relaxed MnHg2 crystal. Source: Alexandria, functional PBE-GGA.

Lattice parameters (Å, degrees): 3.2177 3.2177 13.9572 90.00 90.00 120.00
With the nearest neighbours (Å) after each atom.
Space group P-6m2 (No. 187)
Unique sites:
Mn  0.0000  0.0000  0.1560 x2  6 Hg 2.86
Hg  0.0000  0.0000  0.5000 x1  12 Hg 3.21-3.22
Hg  0.3333  0.6667  0.0000 x1  6 Mn 2.86
Hg  0.3333  0.6667  0.3121 x2  3 Mn 2.86

The total energy is -2.9455 eV per atom. The calculation puts the total magnetic moment at 3.98 μB per formula unit. The calculation puts the mass density at 12.104 g/cm3.

---

No. 13
A relaxed SrY2Ho crystal. Source: Alexandria, functional PBE-GGA.

Lattice parameters (Å, degrees): 3.6830 3.6830 10.5960 90.00 90.00 90.00
With the nearest neighbours (Å) after each atom.
Space group P4/mmm (No. 123)
Unique sites:
Sr  0.0000  0.0000  0.0000 x1  4 Sr 3.68, 8 Y 3.95
Y  0.5000  0.5000  0.2802 x2  4 Ho 3.49, 4 Y 3.68
Ho  0.0000  0.0000  0.5000 x1  8 Y 3.49, 4 Ho 3.68

The total energy is -4.6760 eV per atom. The calculation puts the total magnetic moment at 0.00 μB per formula unit. The calculation puts the mass density at 4.972 g/cm3.

---

No. 14
A relaxed LiSm2NbO6 crystal. Source: Alexandria, functional PBE-GGA.

Lattice parameters (Å, degrees): 5.4893 5.8199 9.5276 90.00 123.78 90.00
With the nearest neighbours (Å) after each atom.
Space group P2_1/c (No. 14)
Unique sites:
Li  0.0000  0.0000  0.0000 x2  6 O 2.18-2.20
Sm  0.2241  0.0683  0.7456 x4  5 O 2.30-2.54
Nb  0.5000  0.0000  0.5000 x2  6 O 2.01-2.03
O  0.1479  0.1846  0.4453 x4  1 Nb 2.01, 1 Li 2.18
O  0.2526  0.7104  0.4323 x4  1 Nb 2.03, 1 Li 2.20
O  0.3810  0.0480  0.2602 x4  1 Nb 2.02, 1 Li 2.20

The total energy is -8.1052 eV per atom. The calculation puts the total magnetic moment at 0.00 μB per formula unit. The calculation puts the mass density at 6.518 g/cm3.

---

No. 15
A relaxed SiHgBr2 crystal. Source: Alexandria, functional PBE-GGA.

Lattice parameters (Å, degrees): 12.6363 3.5297 6.7680 90.00 112.51 90.00
With the nearest neighbours (Å) after each atom.
Space group Cm (No. 8)
Unique sites:
Si  0.0000  0.0000  0.0000 x2  4 Br 2.63
Hg  0.1890  0.5000  0.3576 x2  2 Si 3.20, 2 Hg 3.53
Br  0.0116  0.5000  0.7213 x2  2 Si 2.63
Br  0.3516  0.0000  0.0270 x2  2 Si 2.63

The total energy is -2.4121 eV per atom. The calculation puts the total magnetic moment at 0.00 μB per formula unit. The calculation puts the mass density at 4.626 g/cm3.

---

No. 16
A relaxed TaCu2NiGe crystal. Source: Alexandria, functional PBE-GGA.

Lattice parameters (Å, degrees): 4.3087 4.3087 4.2630 90.00 90.00 90.00
With the nearest neighbours (Å) after each atom.
Space group P4/mmm (No. 123)
Unique sites:
Ta  0.0000  0.0000  0.0000 x1  8 Cu 3.03, 4 Ge 3.05
Cu  0.0000  0.5000  0.5000 x2  2 Ni 2.15
Ni  0.5000  0.5000  0.5000 x1  2 Ge 2.13, 4 Cu 2.15
Ge  0.5000  0.5000  0.0000 x1  2 Ni 2.13

The total energy is -5.3778 eV per atom. The calculation puts the total magnetic moment at 0.00 μB per formula unit. The calculation puts the mass density at 9.219 g/cm3.

---

No. 17
A relaxed Dy3Ho12Cd crystal. Source: Alexandria, functional PBE-GGA.

Lattice parameters (Å, degrees): 4.9375 4.9375 19.9412 90.00 90.00 90.00
With the nearest neighbours (Å) after each atom.
Space group P4/mmm (No. 123)
Unique sites:
Dy  0.0000  0.0000  0.0000 x1  12 Ho 3.49-3.53
Dy  0.0000  0.0000  0.2522 x2  12 Ho 3.49-3.53
Ho  0.0000  0.5000  0.1267 x4  8 Ho 3.49-3.56, 4 Dy 3.52-3.53
Ho  0.0000  0.5000  0.3785 x4  8 Ho 3.46-3.49, 2 Cd 3.46, 2 Dy 3.53
Ho  0.5000  0.5000  0.0000 x1  4 Dy 3.49, 8 Ho 3.53
Ho  0.5000  0.5000  0.2556 x2  8 Ho 3.48-3.56, 4 Dy 3.49
Ho  0.5000  0.5000  0.5000 x1  8 Ho 3.46, 4 Cd 3.49
Cd  0.0000  0.0000  0.5000 x1  12 Ho 3.46-3.49

The total energy is -4.3572 eV per atom. The calculation puts the total magnetic moment at 0.00 μB per formula unit. The calculation puts the mass density at 8.809 g/cm3.

---

No. 18
A relaxed KTl2In2Hg5 crystal. Source: Alexandria, functional PBE-GGA.

Lattice parameters (Å, degrees): 10.8960 10.8960 5.0312 90.00 90.00 90.00
With the nearest neighbours (Å) after each atom.
Space group P4/mbm (No. 127)
Unique sites:
K  0.0000  0.0000  0.0000 x2  8 Hg 3.43
Tl  0.1831  0.3169  0.0000 x4  3 In 3.10-3.34, 4 Hg 3.40
In  0.1158  0.6158  0.0000 x4  6 Hg 3.08-3.37, 3 Tl 3.10-3.34
Hg  0.0000  0.5000  0.5000 x2  4 In 3.08, 4 Hg 3.12
Hg  0.0007  0.2140  0.5000 x8  3 Hg 3.12-3.30, 2 In 3.37, 2 Tl 3.40, 2 K 3.43

The total energy is -1.3390 eV per atom. The calculation puts the total magnetic moment at 0.00 μB per formula unit. The calculation puts the mass density at 9.343 g/cm3.

---

No. 19
A relaxed Cd3AgAu6 crystal. Source: Alexandria, functional PBE-GGA.

Lattice parameters (Å, degrees): 13.7945 5.4285 7.5154 90.00 122.71 90.00
With the nearest neighbours (Å) after each atom.
Space group C2/m (No. 12)
Unique sites:
Cd  0.0000  0.0000  0.0000 x2  6 Au 2.77-2.91
Cd  0.1505  0.0000  0.5332 x4  5 Au 2.79-3.05
Ag  0.0000  0.5000  0.5000 x2  6 Au 2.73-2.93
Au  0.1268  0.2488  0.8713 x8  5 Au 2.70-2.99, 1 Ag 2.73, 1 Cd 2.77
Au  0.2492  0.0000  0.2923 x4  4 Cd 2.79-3.01, 4 Au 2.93-2.99, 1 Ag 2.93

The total energy is -2.4935 eV per atom. The calculation puts the total magnetic moment at 0.00 μB per formula unit. The calculation puts the mass density at 11.411 g/cm3.

---

No. 20
A relaxed Cd3CO4 crystal. Source: Alexandria, functional PBE-GGA.

Lattice parameters (Å, degrees): 7.2897 5.8591 5.1058 90.00 90.00 90.00
With the nearest neighbours (Å) after each atom.
Space group Pmn2_1 (No. 31)
Unique sites:
Cd  0.0000  0.2254  0.0000 x2  2 O 2.26-2.35
Cd  0.2084  0.8015  0.9854 x4  3 O 2.30
C  0.0000  0.5823  0.4753 x2  4 O 1.37-1.52
O  0.0000  0.3338  0.5576 x2  1 C 1.52
O  0.0000  0.5711  0.1949 x2  1 C 1.43
O  0.1588  0.6816  0.5622 x4  1 C 1.37

The total energy is -4.8280 eV per atom. The calculation puts the total magnetic moment at 0.00 μB per formula unit. The calculation puts the mass density at 6.293 g/cm3.

---

No. 21
A relaxed LaScCd crystal. Source: Alexandria, functional PBE-GGA.

Lattice parameters (Å, degrees): 5.2827 10.4252 5.9244 90.00 90.00 90.00
With the nearest neighbours (Å) after each atom.
Space group Amm2 (No. 38)
Unique sites:
La  0.0000  0.0000  0.0000 x2  4 Sc 3.25-3.27, 4 Cd 3.38, 2 La 3.46
La  0.5000  0.0000  0.3781 x2  6 Cd 3.31-3.68, 2 La 3.46, 4 Sc 3.47
Sc  0.0000  0.1880  0.5633 x4  4 Cd 3.13-3.22, 2 Sc 3.23, 4 La 3.25-3.47
Cd  0.5000  0.1834  0.8481 x4  4 Sc 3.13-3.22, 2 Cd 3.27, 4 La 3.31-3.38

The total energy is -4.1780 eV per atom. The calculation puts the total magnetic moment at 0.00 μB per formula unit. The calculation puts the mass density at 6.031 g/cm3.

---

No. 22
A relaxed LiVHPd2 crystal. Source: Alexandria, functional PBE-GGA.

Lattice parameters (Å, degrees): 3.9952 3.9952 3.8807 90.00 90.00 90.00
With the nearest neighbours (Å) after each atom.
Space group P4/mmm (No. 123)
Unique sites:
Li  0.0000  0.0000  0.0000 x1  8 Pd 2.78, 4 V 2.83
V  0.5000  0.5000  0.0000 x1  2 H 1.94
H  0.5000  0.5000  0.5000 x1  2 V 1.94, 4 Pd 2.00
Pd  0.0000  0.5000  0.5000 x2  2 H 2.00

The total energy is -5.0554 eV per atom. The calculation puts the total magnetic moment at 2.97 μB per formula unit. The calculation puts the mass density at 7.284 g/cm3.

---

No. 23
A relaxed Tb3Y2HoSe6 crystal. Source: Alexandria, functional PBE-GGA.

Lattice parameters (Å, degrees): 7.0437 12.2813 7.0900 90.00 109.45 90.00
With the nearest neighbours (Å) after each atom.
Space group C2/m (No. 12)
Unique sites:
Tb  0.0000  0.0000  0.0000 x2  6 Se 2.89-2.90
Tb  0.0000  0.3316  0.0000 x4  6 Se 2.89-2.90
Y  0.0000  0.1669  0.5000 x4  6 Se 2.88-2.90
Ho  0.0000  0.5000  0.5000 x2  6 Se 2.87
Se  0.2482  0.3345  0.7478 x8  1 Ho 2.87, 2 Y 2.88-2.89, 3 Tb 2.89-2.90
Se  0.2482  0.5000  0.2509 x4  1 Ho 2.87, 2 Y 2.90, 3 Tb 2.90

The total energy is -6.1224 eV per atom. The calculation puts the total magnetic moment at 0.00 μB per formula unit. The calculation puts the mass density at 7.427 g/cm3.